Entry 1:
DFT (PBE) results for YTiNi2 after structural relaxation.

```
YTiNi2
1.0
3.120 0.000 0.000
0.000 3.120 0.000
0.000 0.000 6.733
Y Ti Ni
1 1 2
Direct
0.000 0.000 0.000
0.000 0.000 0.500
0.500 0.500 0.305
0.500 0.500 0.695
```

Computed properties:
* energy relative to the lowest polymorph listed for this composition: 0.000 eV/atom
* E_form: -346 meV per atom
* total magnetization: 0.0000 μB per atom

***

Entry 2:
DFT (PBE) results for NaLi2P2 after structural relaxation.

```
NaLi2P2
1.0
-2.060 2.060 5.141
2.060 -2.060 5.141
2.060 2.060 -5.141
Na Li P
1 2 2
Direct
0.000 0.000 0.000
0.250 0.750 0.500
0.750 0.250 0.500
0.395 0.395 0.000
0.605 0.605 0.000
```

Computed properties:
* energy relative to the lowest polymorph listed for this composition: 0.000 eV/atom
* E_form: -486 meV per atom
* total magnetization: 0.0000 μB per atom

***

Entry 3:
DFT (PBE) results for HgAuBr2 after structural relaxation.

```
HgAuBr2
1.0
4.003 0.000 0.000
0.000 4.031 0.000
0.000 0.000 7.382
Hg Au Br
1 1 2
Direct
0.000 0.000 0.000
0.000 0.500 0.500
0.500 0.000 0.500
0.500 0.500 0.000
```

Computed properties:
* energy relative to the lowest polymorph listed for this composition: 0.183 eV/atom
* formation energy without anion corrections: 6.0 kJ per mole of atoms
* total magnetization: 0.0000 μB per atom

***

Entry 4:
DFT (PBE) results for Cs2ErZn2Te4 after structural relaxation.

```
Cs2ErZn2Te4
1.0
8.268 -2.400 0.000
8.268 2.400 0.000
-2.755 0.000 8.291
Cs Er Zn Te
2 1 2 4
Direct
0.134 0.134 0.068
0.866 0.866 0.932
0.000 0.000 0.500
0.328 0.328 0.504
0.672 0.672 0.496
0.197 0.197 0.655
0.488 0.488 0.725
0.512 0.512 0.275
0.803 0.803 0.345
```

Computed properties:
* formation energy without anion corrections: -84.4 kJ per mole of atoms
* total magnetization: 0.0000 μB per atom

***

Entry 5:
DFT (PBE) results for Ca2Br after structural relaxation.

```
Ca2Br
1.0
9.643 0.000 0.000
-4.822 8.351 0.000
0.000 0.000 3.907
Ca Br
6 3
Direct
0.000 0.247 0.000
0.000 0.582 0.500
0.247 0.000 0.000
0.418 0.418 0.500
0.582 0.000 0.500
0.753 0.753 0.000
0.000 0.000 0.500
0.333 0.667 0.000
0.667 0.333 0.000
```

Computed properties:
* energy relative to the lowest polymorph listed for this composition: 0.249 eV/atom
* formation energy without anion corrections: -62.4 kJ per mole of atoms
* total magnetization: 0.1748 μB per atom

***

Entry 6:
DFT (PBE) results for SnTeP2S after structural relaxation.

```
SnTeP2S
1.0
5.071 0.000 0.000
0.000 5.071 0.000
0.000 0.000 5.069
Sn Te P S
1 1 2 1
Direct
0.000 0.000 0.000
0.500 0.500 0.500
0.000 0.500 0.500
0.500 0.000 0.500
0.500 0.500 0.000
```

Computed properties:
* energy relative to the lowest polymorph listed for this composition: 0.000 eV/atom
* formation energy without anion corrections: 81.7 kJ per mole of atoms
* total magnetization: 0.0000 μB per atom

***

Entry 7:
DFT (PBE) results for Na2Te2O after structural relaxation.

```
Na2Te2O
1.0
6.904 0.000 0.000
0.000 6.904 0.000
0.000 0.000 5.009
Na Te O
4 4 2
Direct
0.149 0.351 0.000
0.351 0.851 0.000
0.649 0.149 0.000
0.851 0.649 0.000
0.189 0.689 0.500
0.311 0.189 0.500
0.689 0.811 0.500
0.811 0.311 0.500
0.000 0.000 0.500
0.500 0.500 0.500
```

Computed properties:
* energy relative to the lowest polymorph listed for this composition: 0.065 eV/atom
* formation energy without anion corrections: -37.2 kJ per mole of atoms
* total magnetization: 0.0000 μB per atom

***

Entry 8:
DFT (PBE) results for KNd2SeO5 after structural relaxation.

```
KNd2SeO5
1.0
-3.436 3.436 6.117
3.436 -3.436 6.117
3.436 3.436 -6.117
K Nd Se O
2 4 2 10
Direct
0.250 0.250 0.000
0.750 0.750 0.000
0.176 0.676 0.852
0.324 0.176 0.500
0.676 0.824 0.500
0.824 0.324 0.148
0.250 0.750 0.500
0.750 0.250 0.500
0.000 0.000 0.000
0.015 0.247 0.500
0.247 0.747 0.232
0.253 0.485 0.500
0.485 0.985 0.232
0.500 0.500 0.000
0.515 0.015 0.768
0.747 0.515 0.500
0.753 0.253 0.768
0.985 0.753 0.500
```

Computed properties:
* formation energy without anion corrections: -198.0 kJ per mole of atoms
* total magnetization: 0.1032 μB per atom

***

Entry 9:
DFT (PBE) results for BaCdOs after structural relaxation.

```
BaCdOs
1.0
4.660 0.000 0.000
-2.330 4.036 0.000
0.000 0.000 4.622
Ba Cd Os
1 1 1
Direct
0.000 0.000 0.000
0.667 0.333 0.500
0.333 0.667 0.500
```

Computed properties:
* E_form: 721 meV per atom
* total magnetization: 0.1563 μB per atom